# 1
Material: ZnSi3Hg
Method: DFT, PBE
State: relaxed

Energy above the most stable polymorph in this dataset, meV per atom: 0
Size of the total moment, μB per formula unit: 0.00
Crystal system: cubic
Uncorrected energy, eV/atom: -2.666
Density, g/cm3: 5.46
Formation energy from raw total energies, eV per formula unit: 4.52
SG: Pm-3m (221)

Lattice parameters (Å, degrees): 4.739 4.739 4.739 90.00 90.00 90.00
Fractional coordinates of all 5 atoms:
Zn 0.000 0.000 0.000
Si 0.500 0.000 0.000
Si 0.000 0.500 0.000
Si 0.000 0.000 0.500
Hg 0.500 0.500 0.500


# 2
Material: ZnSi2Hg
Method: DFT, PBE
State: relaxed

Energy above the most stable polymorph in this dataset, meV per atom: 260
Size of the total moment, μB per formula unit: 0.00
Crystal system: orthorhombic
Uncorrected energy, eV/atom: -2.596
Density, g/cm3: 7.24
Formation energy from raw total energies, eV per formula unit: 2.04
SG: Cmmm (65)

Lattice parameters (Å, degrees): 5.685 5.685 2.735 90.00 90.00 123.21
Fractional coordinates of all 4 atoms:
Si 0.500 0.500 0.000
Si 0.000 0.000 0.000
Zn 0.500 0.000 0.500
Hg 0.000 0.500 0.500


# 3
Material: Zn4SiHg
Method: DFT, PBE
State: relaxed

Size of the total moment, μB per formula unit: 0.00
Crystal system: cubic
Uncorrected energy, eV/atom: -1.526
Density, g/cm3: 7.92
Formation energy from raw total energies, eV per formula unit: 1.66
SG: F-43m (216)

Lattice parameters (Å, degrees): 5.259 5.259 5.259 60.00 60.00 60.00
Fractional coordinates of all 6 atoms:
Hg 0.250 0.250 0.250
Zn 0.625 0.124 0.625
Zn 0.625 0.625 0.625
Zn 0.625 0.625 0.124
Zn 0.124 0.625 0.625
Si 0.000 0.000 0.000